This record from Alexandria describes a relaxed structure of Ag4Au3I12. The functional is PBE.

Unit cell a=9.6723 b=9.6723 c=9.6723 alpha=109.47 beta=109.47 gamma=109.47
Sites, in units of the cell vectors:
I: 0.8311 0.3226 0.1537
I: 0.4915 0.1689 0.3226
I: 0.6774 0.5085 0.8311
I: 0.1537 0.8311 0.3226
I: 0.8463 0.1689 0.6774
I: 0.6774 0.8463 0.1689
I: 0.5085 0.8311 0.6774
I: 0.8311 0.6774 0.5085
I: 0.3226 0.1537 0.8311
I: 0.1689 0.3226 0.4915
I: 0.3226 0.4915 0.1689
I: 0.1689 0.6774 0.8463
Ag: 0.0000 0.0000 0.5000
Ag: 0.5000 0.5000 0.5000
Ag: 0.0000 0.5000 0.0000
Ag: 0.5000 0.0000 0.0000
Au: 0.5000 0.5000 0.0000
Au: 0.5000 0.0000 0.5000
Au: 0.0000 0.5000 0.5000

Values from the calculation:
raw total energy = -0.159 Ry/atom
formation energy (no corrections) = -1.14 eV/f.u.
symmetry = No. 204

---

This record from Alexandria describes a relaxed structure of AgAuI6. The functional is PBE.

Unit cell a=9.0991 b=7.7704 c=9.2598 alpha=51.35 beta=45.11 gamma=59.13
Sites, in units of the cell vectors:
I: 0.6575 0.1610 0.7595
I: 0.3425 0.8390 0.2405
I: 0.0820 0.4477 0.7123
I: 0.6463 0.2094 0.2382
I: 0.3537 0.7906 0.7618
I: 0.9180 0.5523 0.2877
Au: 0.0000 0.0000 0.0000
Ag: 0.5000 0.5000 0.5000

Values from the calculation:
raw total energy = -0.143 Ry/atom
formation energy (no corrections) = -0.08 eV/f.u.
symmetry = No. 2

---

This record from Alexandria describes a relaxed structure of AgAuI2. The functional is PBE.

Unit cell a=4.5818 b=4.5818 c=8.6878 alpha=74.71 beta=74.71 gamma=60.00
Sites, in units of the cell vectors:
Au: 0.0000 0.0000 0.0000
I: 0.8959 0.8959 0.3123
I: 0.1041 0.1041 0.6877
Ag: 0.5000 0.5000 0.5000

Values from the calculation:
energy above the most stable polymorph in this dataset = 0.018 eV/atom
raw total energy = -0.176 Ry/atom
formation energy (no corrections) = -0.34 eV/f.u.
symmetry = No. 166

---

This record from Alexandria describes a relaxed structure of AgAuI. The functional is PBE.

Unit cell a=4.1256 b=4.1256 c=5.1879 alpha=90.00 beta=90.00 gamma=120.00
Sites, in units of the cell vectors:
Ag: 0.0000 0.0000 0.9787
I: 0.6667 0.3333 0.3293
Au: 0.3333 0.6667 0.6920

Values from the calculation:
raw total energy = -0.173 Ry/atom
formation energy (no corrections) = 0.61 eV/f.u.
symmetry = No. 156

---

This record from Alexandria describes a relaxed structure of AgAuI2. The functional is PBE.

Unit cell a=5.3946 b=5.3946 c=5.3946 alpha=60.00 beta=60.00 gamma=60.00
Sites, in units of the cell vectors:
Ag: 0.0000 0.0000 0.0000
I: 0.2500 0.2500 0.2500
I: 0.7500 0.7500 0.7500
Au: 0.5000 0.5000 0.5000

Values from the calculation:
energy above the most stable polymorph in this dataset = 0.479 eV/atom
raw total energy = -0.142 Ry/atom
formation energy (no corrections) = 1.51 eV/f.u.
symmetry = No. 225

---

This record from Alexandria describes a relaxed structure of Ag3AuI4. The functional is PBE.

Unit cell a=7.6387 b=8.0754 c=9.3212 alpha=90.00 beta=90.00 gamma=90.00
Sites, in units of the cell vectors:
Au: 0.0009 0.1688 0.0000
Au: 0.5009 0.8312 0.5000
I: 0.1257 0.8382 0.0000
I: 0.1262 0.3324 0.2478
I: 0.6257 0.1618 0.5000
I: 0.6310 0.1667 0.0000
I: 0.6262 0.6676 0.7478
I: 0.1262 0.3324 0.7522
I: 0.6262 0.6676 0.2522
I: 0.1310 0.8333 0.5000
Ag: 0.0021 0.6673 0.7503
Ag: 0.0021 0.6673 0.2497
Ag: 0.0011 0.1669 0.5000
Ag: 0.5021 0.3327 0.2503
Ag: 0.5021 0.3327 0.7497
Ag: 0.5011 0.8331 0.0000

Values from the calculation:
raw total energy = -0.178 Ry/atom
formation energy (no corrections) = -1.39 eV/f.u.
symmetry = No. 31

---

This record from Alexandria describes a relaxed structure of Ag3AuI6. The functional is PBE.

Unit cell a=8.8317 b=8.8317 c=8.8317 alpha=93.92 beta=93.92 gamma=93.92
Sites, in units of the cell vectors:
I: 0.0697 0.8949 0.6916
I: 0.9303 0.1051 0.3084
I: 0.8949 0.6916 0.0697
I: 0.3084 0.9303 0.1051
I: 0.4364 0.6235 0.8003
I: 0.3765 0.1997 0.5636
I: 0.6916 0.0697 0.8949
I: 0.8003 0.4364 0.6235
I: 0.1997 0.5636 0.3765
I: 0.5636 0.3765 0.1997
I: 0.1051 0.3084 0.9303
I: 0.6235 0.8003 0.4364
Au: 0.0000 0.0000 0.0000
Au: 0.5000 0.5000 0.5000
Ag: 0.6027 0.0585 0.2502
Ag: 0.0585 0.2502 0.6027
Ag: 0.9415 0.7498 0.3973
Ag: 0.7498 0.3973 0.9415
Ag: 0.2502 0.6027 0.0585
Ag: 0.3973 0.9415 0.7498

Values from the calculation:
raw total energy = -0.160 Ry/atom
formation energy (no corrections) = -0.62 eV/f.u.
symmetry = No. 148

---

This record from Alexandria describes a relaxed structure of Ag2AuI. The functional is PBE.

Unit cell a=6.3200 b=6.3200 c=8.0097 alpha=66.76 beta=66.76 gamma=90.00
Sites, in units of the cell vectors:
Au: 0.7500 0.2500 0.5000
Au: 0.0000 0.0000 0.0000
Ag: 0.1113 0.6250 0.2500
Ag: 0.6387 0.1250 0.2500
Ag: 0.8750 0.8887 0.7500
Ag: 0.3750 0.3613 0.7500
I: 0.5000 0.5000 0.0000
I: 0.2500 0.7500 0.5000

Values from the calculation:
energy above the most stable polymorph in this dataset = 0.000 eV/atom
raw total energy = -0.177 Ry/atom
formation energy (no corrections) = 0.87 eV/f.u.
symmetry = No. 122

---

This record from Alexandria describes a relaxed structure of Ag3AuI. The functional is PBE.

Unit cell a=5.2513 b=5.2513 c=5.2513 alpha=90.00 beta=90.00 gamma=90.00
Sites, in units of the cell vectors:
I: 0.5000 0.5000 0.5000
Au: 0.0000 0.0000 0.0000
Ag: 0.5000 0.0000 0.0000
Ag: 0.0000 0.0000 0.5000
Ag: 0.0000 0.5000 0.0000

Values from the calculation:
energy above the most stable polymorph in this dataset = 0.000 eV/atom
raw total energy = -0.164 Ry/atom
formation energy (no corrections) = 2.25 eV/f.u.
symmetry = No. 221

---

This record from Alexandria describes a relaxed structure of AgAu2I8. The functional is PBE.

Unit cell a=9.3238 b=9.0096 c=8.5699 alpha=104.40 beta=95.58 gamma=130.37
Sites, in units of the cell vectors:
Ag: 0.0000 0.0000 0.0000
I: 0.7961 0.7454 0.3845
I: 0.2039 0.2546 0.6155
I: 0.3411 0.7768 0.4054
I: 0.4289 0.2777 0.1381
I: 0.5711 0.7223 0.8619
I: 0.6589 0.2232 0.5946
I: 0.0699 0.7253 0.9267
I: 0.9301 0.2747 0.0733
Au: 0.0965 0.3031 0.3558
Au: 0.9035 0.6969 0.6442

Values from the calculation:
energy above the most stable polymorph in this dataset = 0.000 eV/atom
raw total energy = -0.145 Ry/atom
formation energy (no corrections) = 0.10 eV/f.u.
symmetry = No. 2

---

This record from Alexandria describes a relaxed structure of AgAu2I2. The functional is PBE.

Unit cell a=7.7260 b=7.7260 c=4.2893 alpha=90.00 beta=90.00 gamma=90.00
Sites, in units of the cell vectors:
Ag: 0.5000 0.5000 0.0000
Ag: 0.0000 0.0000 0.0000
Au: 0.8738 0.6262 0.0000
Au: 0.3738 0.8738 0.0000
Au: 0.6262 0.1262 0.0000
Au: 0.1262 0.3738 0.0000
I: 0.1968 0.6968 0.5000
I: 0.6968 0.8032 0.5000
I: 0.8032 0.3032 0.5000
I: 0.3032 0.1968 0.5000

Values from the calculation:
energy above the most stable polymorph in this dataset = 0.000 eV/atom
raw total energy = -0.165 Ry/atom
formation energy (no corrections) = 1.28 eV/f.u.
symmetry = No. 127